1.
Computed, not measured: crystalline Sb2PRh at its relaxed geometry at the PBE-GGA level of DFT.

Geometry as POSCAR:
```
Sb2PRh
1.0
4.252 0.000 0.000
0.000 5.286 0.000
0.000 0.000 7.321
Sb P Rh
4 2 2
Direct
0.000 0.000 0.000
0.000 0.500 0.500
0.500 0.000 0.357
0.500 0.500 0.857
0.500 0.000 0.754
0.500 0.500 0.254
0.000 0.000 0.585
0.000 0.500 0.085
```

Results
Its density of states at the Fermi level is 0.370 states/eV per atom. Its uncorrected formation energy is -0.14 eV per atom.

---

2.
Computed, not measured: crystalline Y8Ag2Ru at its relaxed geometry at the PBE-GGA level of DFT.

Geometry as POSCAR:
```
Y8Ag2Ru
1.0
3.762 -8.064 0.000
3.762 8.064 0.000
-3.183 0.000 5.134
Y Ag Ru
8 2 1
Direct
0.000 0.000 0.000
0.118 0.890 0.483
0.342 0.575 0.125
0.461 0.461 0.648
0.535 0.924 0.788
0.575 0.342 0.125
0.890 0.118 0.483
0.924 0.535 0.788
0.002 0.444 0.288
0.444 0.002 0.288
0.726 0.726 0.482
```

Results
Its density of states at the Fermi level is 1.196 states/eV per atom. The value obtained for the formation energy is -0.129 eV per atom. The energy above the lowest structure with this stoichiometry comes out at 68 meV per atom.

---

3.
Computed, not measured: crystalline Ba2LaPd2 at its relaxed geometry at the PBE-GGA level of DFT.

Geometry as POSCAR:
```
Ba2LaPd2
1.0
4.799 0.000 0.000
0.000 4.799 0.000
0.000 0.000 14.072
Ba La Pd
4 2 4
Direct
0.000 0.500 0.250
0.000 0.500 0.750
0.500 0.000 0.250
0.500 0.000 0.750
0.000 0.000 0.000
0.500 0.500 0.500
0.000 0.000 0.407
0.000 0.000 0.593
0.500 0.500 0.093
0.500 0.500 0.907
```

Results
Its density of states at the Fermi level is 1.403 states/eV per atom. The value obtained for the formation energy is -0.153 eV per atom. The energy above the lowest structure with this stoichiometry comes out at 279 meV per atom.

---

4.
Computed, not measured: crystalline RbGaSn at its relaxed geometry at the PBE-GGA level of DFT.

Geometry as POSCAR:
```
RbGaSn
1.0
4.633 0.000 0.000
-2.316 4.012 0.000
0.000 0.000 11.833
Rb Ga Sn
2 2 2
Direct
0.000 0.000 0.000
0.000 0.000 0.500
0.333 0.667 0.250
0.667 0.333 0.750
0.333 0.667 0.750
0.667 0.333 0.250
```

Results
Its density of states at the Fermi level is 0.019 states/eV per atom. The value obtained for the formation energy is -0.203 eV per atom.

---

5.
Computed, not measured: crystalline AgH8IrPt2 at its relaxed geometry at the PBE-GGA level of DFT.

Geometry as POSCAR:
```
AgH8IrPt2
1.0
4.315 0.000 0.000
-0.022 4.322 0.000
-0.305 -0.303 5.564
Ag H Ir Pt
1 8 1 2
Direct
0.000 0.000 0.000
0.184 0.766 0.715
0.237 0.819 0.285
0.288 0.291 0.459
0.332 0.336 0.021
0.668 0.664 0.979
0.712 0.709 0.541
0.763 0.181 0.715
0.816 0.234 0.285
0.000 0.000 0.500
0.453 0.453 0.741
0.547 0.547 0.259
```

Results
Its density of states at the Fermi level is 0.116 states/eV per atom.

---

6.
Computed, not measured: crystalline Na2EuPb at its relaxed geometry at the PBE-GGA level of DFT.

Geometry as POSCAR:
```
Na2EuPb
1.0
4.815 0.000 0.000
0.000 4.815 0.000
0.000 0.000 5.615
Na Eu Pb
2 1 1
Direct
0.000 0.500 0.000
0.500 0.000 0.000
0.000 0.000 0.500
0.500 0.500 0.500
```

Results
Its density of states at the Fermi level is 2.936 states/eV per atom. The value obtained for the formation energy is -0.170 eV per atom.

---

7.
Computed, not measured: crystalline LiNd2TaS6 at its relaxed geometry at the PBE-GGA level of DFT.

Geometry as POSCAR:
```
LiNd2TaS6
1.0
3.405 1.966 5.778
-3.405 1.966 5.778
0.000 -3.931 5.778
Li Nd Ta S
1 2 1 6
Direct
0.000 0.000 0.000
0.281 0.281 0.281
0.784 0.784 0.784
0.490 0.490 0.490
0.133 0.708 0.359
0.239 0.629 0.828
0.359 0.133 0.708
0.629 0.828 0.239
0.708 0.359 0.133
0.828 0.239 0.629
```

Results
Its uncorrected formation energy is -1.50 eV per atom.

---

Result set for total DFT energy (no corrections): -43.122, -68.113, -39.846, -17.214, -49.290, -17.300, -63.060 eV/cell, one per record in the order listed.